Density functional theory data (PBE) for a geometry-optimized LaCuPd3 structure.

calculated formation energy = -0.23 eV per atom
size of the total moment = 0.000 μB/cell
ΔE to the lowest computed polymorph = 0.2978 eV/atom
total DFT energy (no corrections) = -51.490 eV per cell
space group = I-4m2, No. 119

Lattice parameters (Å, degrees): 5.2048 5.2048 9.2135 106.41 106.41 90.00
With the nearest neighbours (Å) after each atom.
Fractional coordinates of all 10 atoms:
Cu: 0.0000 0.0000 0.0000  4 Pd 2.47
Cu: 0.2500 0.7500 0.5000  8 Pd 2.49-2.63
Pd: 0.1321 0.8766 0.7533  2 Cu 2.47-2.49, 2 Pd 2.55-2.66
Pd: 0.6212 0.8766 0.7533  2 Cu 2.47-2.49, 2 Pd 2.55-2.66
Pd: 0.7272 0.7272 0.4543  2 Cu 2.63, 2 Pd 2.85
Pd: 0.1234 0.3788 0.2467  2 Cu 2.47-2.49, 2 Pd 2.55-2.66
Pd: 0.1234 0.8679 0.2467  2 Cu 2.47-2.49, 2 Pd 2.55-2.66
Pd: 0.2728 0.2728 0.5457  2 Cu 2.63, 2 Pd 2.85
La: 0.8767 0.3767 0.7534  6 Pd 2.92-3.14
La: 0.6233 0.1233 0.2466  6 Pd 2.92-3.14

***

Density functional theory data (PBE) for a geometry-optimized LaCu5Pd2 structure.

calculated formation energy = -0.16 eV per atom
size of the total moment = 0.000 μB/cell
total DFT energy (no corrections) = -37.060 eV per cell
space group = Immm, No. 71

Lattice parameters (Å, degrees): 3.9455 6.2154 6.2154 71.51 71.49 71.49
With the nearest neighbours (Å) after each atom.
Fractional coordinates of all 8 atoms:
Pd: 0.2700 0.2300 0.2300  7 Cu 2.51-2.64
Pd: 0.7300 0.7700 0.7700  7 Cu 2.51-2.64
Cu: 0.3632 0.4654 0.8083  4 Cu 2.49-2.66, 3 Pd 2.54-2.64
Cu: 0.0000 0.5000 0.5000  2 Pd 2.51, 8 Cu 2.66
Cu: 0.6368 0.5346 0.1917  4 Cu 2.49-2.66, 3 Pd 2.54-2.64
Cu: 0.6368 0.1917 0.5346  4 Cu 2.49-2.66, 3 Pd 2.54-2.64
Cu: 0.3632 0.8083 0.4654  4 Cu 2.49-2.66, 3 Pd 2.54-2.64
La: 0.0000 0.0000 0.0000  4 Pd 2.91

***

Density functional theory data (PBE) for a geometry-optimized LaCu2Pd structure.

calculated formation energy = -0.20 eV per atom
size of the total moment = 0.000 μB/cell
ΔE to the lowest computed polymorph = 0.2075 eV/atom
total DFT energy (no corrections) = -38.220 eV per cell
space group = I-42d, No. 122

Lattice parameters (Å, degrees): 4.3519 4.3519 9.5990 76.90 76.90 90.00
With the nearest neighbours (Å) after each atom.
Fractional coordinates of all 8 atoms:
Cu: 0.3750 0.5388 0.7500  2 Cu 2.30, 2 Pd 2.55
Cu: 0.2888 0.6250 0.2500  2 Cu 2.30, 2 Pd 2.55
Cu: 0.4612 0.1250 0.2500  2 Cu 2.30, 2 Pd 2.55
Cu: 0.8750 0.7112 0.7500  2 Cu 2.30, 2 Pd 2.55
Pd: 0.5000 0.5000 0.0000  4 Cu 2.55
Pd: 0.2500 0.7500 0.5000  4 Cu 2.55
La: 0.0000 0.0000 0.0000  4 Pd 3.08, 4 Cu 3.10
La: 0.7500 0.2500 0.5000  4 Pd 3.08, 4 Cu 3.10

***

Density functional theory data (PBE) for a geometry-optimized LaCuPd2 structure.

calculated formation energy = -0.63 eV per atom
size of the total moment = 0.000 μB/cell
total DFT energy (no corrections) = -87.780 eV per cell
space group = Pnma, No. 62

Lattice parameters (Å, degrees): 5.5728 7.2873 7.5468 90.00 90.00 90.00
With the nearest neighbours (Å) after each atom.
Fractional coordinates of all 16 atoms:
La: 0.1282 0.2500 0.5320  3 Cu 2.92-3.08, 6 Pd 3.09-3.19
La: 0.3718 0.2500 0.0320  3 Cu 2.92-3.08, 6 Pd 3.09-3.19
La: 0.8718 0.7500 0.4680  3 Cu 2.92-3.08, 6 Pd 3.09-3.19
La: 0.6282 0.7500 0.9680  3 Cu 2.92-3.08, 6 Pd 3.09-3.19
Pd: 0.4018 0.5493 0.3241  3 Cu 2.59-2.65
Pd: 0.0982 0.5493 0.8241  3 Cu 2.59-2.65
Pd: 0.9018 0.4507 0.1759  3 Cu 2.59-2.65
Pd: 0.4018 0.9507 0.3241  3 Cu 2.59-2.65
Pd: 0.9018 0.0493 0.1759  3 Cu 2.59-2.65
Pd: 0.5982 0.0493 0.6759  3 Cu 2.59-2.65
Pd: 0.0982 0.9507 0.8241  3 Cu 2.59-2.65
Pd: 0.5982 0.4507 0.6759  3 Cu 2.59-2.65
Cu: 0.8573 0.2500 0.8847  6 Pd 2.59-2.65
Cu: 0.3573 0.7500 0.6153  6 Pd 2.59-2.65
Cu: 0.1427 0.7500 0.1153  6 Pd 2.59-2.65
Cu: 0.6427 0.2500 0.3847  6 Pd 2.59-2.65

***

Density functional theory data (PBE) for a geometry-optimized La4CuPd3 structure.

calculated formation energy = -0.66 eV per atom
size of the total moment = 0.000 μB/cell
total DFT energy (no corrections) = -44.670 eV per cell
space group = Pmm2, No. 25

Lattice parameters (Å, degrees): 3.9771 4.6774 11.1215 90.00 90.00 90.00
With the nearest neighbours (Å) after each atom.
Fractional coordinates of all 8 atoms:
La: 0.0000 0.5000 0.8638  5 Pd 3.06-3.14, 2 Cu 3.10
La: 0.0000 0.0000 0.1353  3 Pd 3.08-3.10, 4 Cu 3.14
La: 0.5000 0.5000 0.3657  6 Pd 3.11-3.18, 1 Cu 3.21
La: 0.5000 0.0000 0.6354  7 Pd 3.11-3.19
Pd: 0.5000 0.0000 0.9218  2 Cu 2.91, 7 La 3.10-3.19
Pd: 0.0000 0.0000 0.4120  2 Pd 3.06, 7 La 3.08-3.18
Pd: 0.0000 0.5000 0.5888  2 Pd 3.06, 7 La 3.06-3.18
Cu: 0.5000 0.5000 0.0772  2 Pd 2.91, 7 La 3.10-3.21

***

Density functional theory data (PBE) for a geometry-optimized La3Cu2Pd structure.

calculated formation energy = -0.33 eV per atom
size of the total moment = 0.000 μB/cell
total DFT energy (no corrections) = -120.622 eV per cell
space group = Pnma, No. 62

Lattice parameters (Å, degrees): 4.1976 11.9138 12.5851 90.00 90.00 90.00
With the nearest neighbours (Å) after each atom.
Fractional coordinates of all 24 atoms:
Cu: 0.2500 0.6891 0.4795  2 Pd 2.66
Cu: 0.7500 0.1891 0.0205  2 Pd 2.66
Cu: 0.7500 0.4809 0.1960  1 Pd 2.70
Cu: 0.2500 0.5191 0.8040  1 Pd 2.70
Cu: 0.7500 0.0191 0.6960  1 Pd 2.70
Cu: 0.2500 0.9809 0.3040  1 Pd 2.70
Cu: 0.2500 0.8109 0.9795  2 Pd 2.66
Cu: 0.7500 0.3109 0.5205  2 Pd 2.66
La: 0.7500 0.1763 0.2886  2 Pd 3.01, 3 Cu 3.14-3.33
La: 0.7500 0.9261 0.1173  5 Cu 3.05-3.36, 3 Pd 3.05-3.13
La: 0.2500 0.8237 0.7114  2 Pd 3.01, 3 Cu 3.14-3.33
La: 0.7500 0.3237 0.7886  2 Pd 3.01, 3 Cu 3.14-3.33
La: 0.2500 0.3671 0.0515  4 Cu 3.01-3.09, 1 Pd 3.19
La: 0.7500 0.6328 0.9485  4 Cu 3.01-3.09, 1 Pd 3.19
La: 0.7500 0.5739 0.6173  5 Cu 3.05-3.36, 3 Pd 3.05-3.13
La: 0.2500 0.0739 0.8827  5 Cu 3.05-3.36, 3 Pd 3.05-3.13
La: 0.2500 0.6763 0.2114  2 Pd 3.01, 3 Cu 3.14-3.33
La: 0.7500 0.8672 0.4485  4 Cu 3.01-3.09, 1 Pd 3.19
La: 0.2500 0.1328 0.5515  4 Cu 3.01-3.09, 1 Pd 3.19
La: 0.2500 0.4261 0.3827  5 Cu 3.05-3.36, 3 Pd 3.05-3.13
Pd: 0.2500 0.1118 0.1284  3 Cu 2.66-2.70
Pd: 0.7500 0.8882 0.8716  3 Cu 2.66-2.70
Pd: 0.2500 0.3882 0.6284  3 Cu 2.66-2.70
Pd: 0.7500 0.6118 0.3716  3 Cu 2.66-2.70

***

Density functional theory data (PBE) for a geometry-optimized La6CuPd structure.

calculated formation energy = -0.20 eV per atom
size of the total moment = 0.000 μB/cell
total DFT energy (no corrections) = -40.461 eV per cell
space group = C2/m, No. 12

Lattice parameters (Å, degrees): 5.2570 5.2565 9.6491 74.19 74.16 90.00
With the nearest neighbours (Å) after each atom.
Fractional coordinates of all 8 atoms:
La: 0.5992 0.0992 0.8016  2 Cu 3.17, 2 Pd 3.17, 1 La 3.53
La: 0.0984 0.5992 0.8016  2 Pd 3.16-3.17, 2 Cu 3.17, 1 La 3.53
La: 0.4008 0.9008 0.1984  2 Cu 3.17, 2 Pd 3.17, 1 La 3.53
La: 0.9016 0.4008 0.1984  2 Pd 3.16-3.17, 2 Cu 3.17, 1 La 3.53
La: 0.2517 0.2497 0.5006  12 La 3.70-3.77
La: 0.7483 0.7503 0.4994  12 La 3.70-3.77
Pd: 0.5000 0.5000 0.0000  8 La 3.16-3.17
Cu: 0.0000 0.0000 0.0000  8 La 3.17

***

Density functional theory data (PBE) for a geometry-optimized La2Cu2Pd15 structure.

calculated formation energy = -0.33 eV per atom
size of the total moment = 0.000 μB/cell
total DFT energy (no corrections) = -102.202 eV per cell
space group = R-3m, No. 166

Lattice parameters (Å, degrees): 6.9886 6.9886 6.9886 81.87 81.87 81.87
With the nearest neighbours (Å) after each atom.
Fractional coordinates of all 19 atoms:
Pd: 0.5000 0.0000 0.0000  8 Pd 2.65-2.68, 2 Cu 2.84
Pd: 0.6984 0.0000 0.3016  8 Pd 2.68-2.83
Pd: 0.6545 0.6545 0.1544  8 Pd 2.65-2.83, 1 Cu 2.90
Pd: 0.0000 0.3016 0.6984  8 Pd 2.68-2.83
Pd: 0.0000 0.5000 0.0000  8 Pd 2.65-2.68, 2 Cu 2.84
Pd: 0.6984 0.3016 0.0000  8 Pd 2.68-2.83
Pd: 0.3455 0.3455 0.8456  8 Pd 2.65-2.83, 1 Cu 2.90
Pd: 0.3016 0.6984 0.0000  8 Pd 2.68-2.83
Pd: 0.3016 0.0000 0.6984  8 Pd 2.68-2.83
Pd: 0.0000 0.0000 0.5000  8 Pd 2.65-2.68, 2 Cu 2.84
Pd: 0.8456 0.3455 0.3455  8 Pd 2.65-2.83, 1 Cu 2.90
Pd: 0.1544 0.6545 0.6545  8 Pd 2.65-2.83, 1 Cu 2.90
Pd: 0.0000 0.6984 0.3016  8 Pd 2.68-2.83
Pd: 0.3455 0.8456 0.3455  8 Pd 2.65-2.83, 1 Cu 2.90
Pd: 0.6545 0.1544 0.6545  8 Pd 2.65-2.83, 1 Cu 2.90
Cu: 0.9083 0.9083 0.9083  1 Cu 2.52
Cu: 0.0917 0.0917 0.0917  1 Cu 2.52
La: 0.3363 0.3363 0.3363  18 Pd 3.21-3.58, 1 Cu 3.35
La: 0.6637 0.6637 0.6637  18 Pd 3.21-3.58, 1 Cu 3.35

***

Density functional theory data (PBE) for a geometry-optimized La3Cu8Pd structure.

calculated formation energy = -0.18 eV per atom
size of the total moment = 0.000 μB/cell
total DFT energy (no corrections) = -54.895 eV per cell
space group = P3m1, No. 156

Lattice parameters (Å, degrees): 5.2273 5.2273 8.8028 90.00 90.00 120.00
With the nearest neighbours (Å) after each atom.
Fractional coordinates of all 12 atoms:
La: 0.0000 0.0000 0.9070  9 Cu 2.99-3.16, 1 Pd 3.15, 3 La 3.32
La: 0.6667 0.3333 0.4600  12 Cu 2.92-3.15, 3 Pd 3.12
La: 0.6667 0.3333 0.0631  12 Cu 3.05-3.22, 3 La 3.32
Pd: 0.0000 0.0000 0.5496  12 Cu 2.97-3.11, 4 La 3.12-3.15
Cu: 0.1662 0.8338 0.2594  6 Cu 2.61-2.64
Cu: 0.1662 0.3323 0.2594  6 Cu 2.61-2.64
Cu: 0.6677 0.8338 0.2594  6 Cu 2.61-2.64
Cu: 0.3333 0.6667 0.5034  6 Cu 2.56-2.63
Cu: 0.0083 0.5042 0.7418  6 Cu 2.55-2.81
Cu: 0.4958 0.5042 0.7418  6 Cu 2.55-2.81
Cu: 0.4958 0.9917 0.7418  6 Cu 2.55-2.81
Cu: 0.3333 0.6667 0.0134  6 Cu 2.64-2.81

***

Density functional theory data (PBE) for a geometry-optimized La3Cu2Pd7 structure.

calculated formation energy = -0.67 eV per atom
size of the total moment = 0.000 μB/cell
total DFT energy (no corrections) = -67.405 eV per cell
space group = R-3m, No. 166

Lattice parameters (Å, degrees): 5.5072 5.5072 9.2900 72.76 72.76 60.00
With the nearest neighbours (Å) after each atom.
Fractional coordinates of all 12 atoms:
La: 0.8616 0.8616 0.4153  12 Pd 3.15-3.40, 3 La 3.51
La: 0.1384 0.1384 0.5847  12 Pd 3.15-3.40, 3 La 3.51
La: 0.0000 0.0000 0.0000  6 Cu 3.18, 12 Pd 3.46
Cu: 0.3335 0.3335 0.9996  6 Pd 2.62-2.63
Cu: 0.6665 0.6665 0.0004  6 Pd 2.62-2.63
Pd: 0.9223 0.4191 0.2396  2 Cu 2.62-2.63, 5 Pd 2.74-2.78
Pd: 0.5000 0.5000 0.5000  6 Pd 2.78
Pd: 0.5809 0.5809 0.7604  2 Cu 2.62-2.63, 5 Pd 2.74-2.78
Pd: 0.4191 0.9223 0.2396  2 Cu 2.62-2.63, 5 Pd 2.74-2.78
Pd: 0.4191 0.4191 0.2396  2 Cu 2.62-2.63, 5 Pd 2.74-2.78
Pd: 0.0777 0.5809 0.7604  2 Cu 2.62-2.63, 5 Pd 2.74-2.78
Pd: 0.5809 0.0777 0.7604  2 Cu 2.62-2.63, 5 Pd 2.74-2.78

***

Repeat the eighth record exactly.
Density functional theory data (PBE) for a geometry-optimized La2Cu2Pd15 structure.

calculated formation energy = -0.33 eV per atom
size of the total moment = 0.000 μB/cell
total DFT energy (no corrections) = -102.202 eV per cell
space group = R-3m, No. 166

Lattice parameters (Å, degrees): 6.9886 6.9886 6.9886 81.87 81.87 81.87
With the nearest neighbours (Å) after each atom.
Fractional coordinates of all 19 atoms:
Pd: 0.5000 0.0000 0.0000  8 Pd 2.65-2.68, 2 Cu 2.84
Pd: 0.6984 0.0000 0.3016  8 Pd 2.68-2.83
Pd: 0.6545 0.6545 0.1544  8 Pd 2.65-2.83, 1 Cu 2.90
Pd: 0.0000 0.3016 0.6984  8 Pd 2.68-2.83
Pd: 0.0000 0.5000 0.0000  8 Pd 2.65-2.68, 2 Cu 2.84
Pd: 0.6984 0.3016 0.0000  8 Pd 2.68-2.83
Pd: 0.3455 0.3455 0.8456  8 Pd 2.65-2.83, 1 Cu 2.90
Pd: 0.3016 0.6984 0.0000  8 Pd 2.68-2.83
Pd: 0.3016 0.0000 0.6984  8 Pd 2.68-2.83
Pd: 0.0000 0.0000 0.5000  8 Pd 2.65-2.68, 2 Cu 2.84
Pd: 0.8456 0.3455 0.3455  8 Pd 2.65-2.83, 1 Cu 2.90
Pd: 0.1544 0.6545 0.6545  8 Pd 2.65-2.83, 1 Cu 2.90
Pd: 0.0000 0.6984 0.3016  8 Pd 2.68-2.83
Pd: 0.3455 0.8456 0.3455  8 Pd 2.65-2.83, 1 Cu 2.90
Pd: 0.6545 0.1544 0.6545  8 Pd 2.65-2.83, 1 Cu 2.90
Cu: 0.9083 0.9083 0.9083  1 Cu 2.52
Cu: 0.0917 0.0917 0.0917  1 Cu 2.52
La: 0.3363 0.3363 0.3363  18 Pd 3.21-3.58, 1 Cu 3.35
La: 0.6637 0.6637 0.6637  18 Pd 3.21-3.58, 1 Cu 3.35

***

- The lowest total DFT energy (no corrections) belongs to which entry?
  La3Cu2Pd